1.
Entry from Alexandria via LeMat-Bulk: a relaxed CaPr2RhO5 crystal (PBE).

Computed properties:
M_tot = 1.03 μB/f.u.
ρ = 6.22 Mg/m³
formation energy from raw total energies = -2424 meV/atom

Unit cell a=6.7946 b=6.7946 c=5.8357 alpha=90.00 beta=90.00 gamma=90.00
With the nearest neighbours (Å) after each atom.
Positions (direct):
Ca1 0.0000 0.0000 0.0000  10 O 2.92-2.97
Ca2 0.5000 0.5000 0.0000  10 O 2.92-2.97
Pr1 0.1723 0.3277 0.5000  4 O 2.31-2.52
Pr2 0.3277 0.8277 0.5000  4 O 2.31-2.52
Pr3 0.6723 0.1723 0.5000  4 O 2.31-2.52
Pr4 0.8277 0.6723 0.5000  4 O 2.31-2.52
Rh1 0.0000 0.5000 0.0000  4 O 1.99
Rh2 0.5000 0.0000 0.0000  4 O 1.99
O1 0.0000 0.0000 0.5000  4 Pr 2.52
O2 0.1446 0.6446 0.2438  1 Rh 1.99
O3 0.1446 0.6446 0.7562  1 Rh 1.99
O4 0.3554 0.1446 0.2438  1 Rh 1.99
O5 0.3554 0.1446 0.7562  1 Rh 1.99
O6 0.5000 0.5000 0.5000  4 Pr 2.52
O7 0.6446 0.8554 0.2438  1 Rh 1.99
O8 0.6446 0.8554 0.7562  1 Rh 1.99
O9 0.8554 0.3554 0.2438  1 Rh 1.99
O10 0.8554 0.3554 0.7562  1 Rh 1.99


2.
Entry from Alexandria via LeMat-Bulk: a relaxed Sc2VGeH crystal (PBE).

Computed properties:
M_tot = 1.28 μB/f.u.
distance to the lowest polymorph of the same formula = 0 meV per atom
ρ = 4.86 Mg/m³

Unit cell a=4.3854 b=4.3854 c=3.8132 alpha=90.00 beta=90.00 gamma=90.00
With the nearest neighbours (Å) after each atom.
Positions (direct):
Sc1 0.0000 0.5000 0.0000  2 H 2.19
Sc2 0.5000 0.0000 0.0000  2 H 2.19
V1 0.0000 0.0000 0.5000  2 H 1.91
Ge1 0.5000 0.5000 0.5000  8 Sc 2.91, 4 V 3.10
H1 0.0000 0.0000 0.0000  2 V 1.91


3.
Entry from Alexandria via LeMat-Bulk: a relaxed CdCoTe2 crystal (PBE).

Computed properties:
M_tot = 1.71 μB/f.u.
ρ = 7.62 Mg/m³
formation energy from raw total energies = 668 meV/atom

Unit cell a=7.1909 b=7.1909 c=7.1909 alpha=90.00 beta=90.00 gamma=90.00
With the nearest neighbours (Å) after each atom.
Positions (direct):
Cd1 0.0000 0.0000 0.0000  4 Co 3.11, 4 Te 3.11
Cd2 0.0000 0.5000 0.5000  4 Co 3.11, 4 Te 3.11
Cd3 0.5000 0.0000 0.5000  4 Co 3.11, 4 Te 3.11
Cd4 0.5000 0.5000 0.0000  4 Co 3.11, 4 Te 3.11
Co1 0.2500 0.2500 0.7500  4 Cd 3.11, 4 Te 3.11
Co2 0.2500 0.7500 0.2500  4 Cd 3.11, 4 Te 3.11
Co3 0.7500 0.2500 0.2500  4 Cd 3.11, 4 Te 3.11
Co4 0.7500 0.7500 0.7500  4 Cd 3.11, 4 Te 3.11
Te1 0.0000 0.0000 0.5000  4 Te 3.11, 4 Co 3.11
Te2 0.0000 0.5000 0.0000  4 Te 3.11, 4 Co 3.11
Te3 0.2500 0.2500 0.2500  4 Cd 3.11, 4 Te 3.11
Te4 0.2500 0.7500 0.7500  4 Cd 3.11, 4 Te 3.11
Te5 0.5000 0.0000 0.0000  4 Te 3.11, 4 Co 3.11
Te6 0.5000 0.5000 0.5000  4 Te 3.11, 4 Co 3.11
Te7 0.7500 0.2500 0.7500  4 Cd 3.11, 4 Te 3.11
Te8 0.7500 0.7500 0.2500  4 Cd 3.11, 4 Te 3.11


4.
Entry from Alexandria via LeMat-Bulk: a relaxed Mg2Ga2Tc crystal (PBE).

Computed properties:
M_tot = 0.00 μB/f.u.
ΔE_f = 21 kJ/mol of formula units
distance to the lowest polymorph of the same formula = 36 meV per atom
ρ = 5.39 Mg/m³

Unit cell a=6.7216 b=6.7216 c=3.8984 alpha=90.00 beta=90.00 gamma=90.00
With the nearest neighbours (Å) after each atom.
Positions (direct):
Mg1 0.1730 0.3270 0.0000  6 Ga 2.65-2.87
Mg2 0.3270 0.8270 0.0000  6 Ga 2.65-2.87
Mg3 0.6730 0.1730 0.0000  6 Ga 2.65-2.87
Mg4 0.8270 0.6730 0.0000  6 Ga 2.65-2.87
Ga1 0.1387 0.6387 0.5000  2 Tc 2.60, 1 Ga 2.64, 6 Mg 2.65-2.87
Ga2 0.3613 0.1387 0.5000  2 Tc 2.60, 1 Ga 2.64, 6 Mg 2.65-2.87
Ga3 0.6387 0.8613 0.5000  2 Tc 2.60, 1 Ga 2.64, 6 Mg 2.65-2.87
Ga4 0.8613 0.3613 0.5000  2 Tc 2.60, 1 Ga 2.64, 6 Mg 2.65-2.87
Tc1 0.0000 0.0000 0.5000  4 Ga 2.60
Tc2 0.5000 0.5000 0.5000  4 Ga 2.60


5.
Entry from Alexandria via LeMat-Bulk: a relaxed CsNa5Pb2 crystal (PBE).

Computed properties:
M_tot = 0.00 μB/f.u.
ΔE_f = -62 kJ/mol of formula units
ρ = 3.49 Mg/m³

Unit cell a=4.5560 b=10.4193 c=13.2719 alpha=90.00 beta=90.00 gamma=90.00
With the nearest neighbours (Å) after each atom.
Positions (direct):
Cs1 0.0000 0.0000 0.0000  4 Pb 4.06, 8 Na 4.47
Cs2 0.5000 0.5000 0.5000  4 Pb 4.06, 8 Na 4.47
Na1 0.0000 0.1964 0.3349  3 Pb 3.25-3.37, 2 Na 3.39
Na2 0.0000 0.1964 0.6651  3 Pb 3.25-3.37, 2 Na 3.39
Na3 0.0000 0.5000 0.0000  2 Pb 3.28
Na4 0.0000 0.8036 0.3349  3 Pb 3.25-3.37, 2 Na 3.39
Na5 0.0000 0.8036 0.6651  3 Pb 3.25-3.37, 2 Na 3.39
Na6 0.5000 0.0000 0.5000  2 Pb 3.28
Na7 0.5000 0.3036 0.1651  3 Pb 3.25-3.37, 2 Na 3.39
Na8 0.5000 0.3036 0.8349  3 Pb 3.25-3.37, 2 Na 3.39
Na9 0.5000 0.6964 0.1651  3 Pb 3.25-3.37, 2 Na 3.39
Na10 0.5000 0.6964 0.8349  3 Pb 3.25-3.37, 2 Na 3.39
Pb1 0.0000 0.5000 0.2469  7 Na 3.25-3.37
Pb2 0.0000 0.5000 0.7531  7 Na 3.25-3.37
Pb3 0.5000 0.0000 0.2531  7 Na 3.25-3.37
Pb4 0.5000 0.0000 0.7469  7 Na 3.25-3.37


6.
Entry from Alexandria via LeMat-Bulk: a relaxed Ca2LaNdTe4 crystal (PBE).

Computed properties:
M_tot = 0.00 μB/f.u.
ρ = 5.54 Mg/m³
formation energy from raw total energies = -1550 meV/atom

Unit cell a=7.7681 b=4.4863 c=7.9451 alpha=90.00 beta=109.04 gamma=90.00
With the nearest neighbours (Å) after each atom.
Positions (direct):
Ca1 0.0000 0.0000 0.0000  6 Te 3.18
Ca2 0.5000 0.5000 0.0000  6 Te 3.15-3.16
La1 0.0000 0.5000 0.5000  6 Te 3.24
Nd1 0.5000 0.0000 0.5000  6 Te 3.22
Te1 0.2500 0.5000 0.2435  3 Ca 3.16-3.18, 2 Nd 3.22, 1 La 3.24
Te2 0.2553 0.0000 0.7583  3 Ca 3.15-3.18, 1 Nd 3.22, 2 La 3.24
Te3 0.7447 0.0000 0.2417  3 Ca 3.15-3.18, 1 Nd 3.22, 2 La 3.24
Te4 0.7500 0.5000 0.7565  3 Ca 3.16-3.18, 2 Nd 3.22, 1 La 3.24


7.
Entry from Alexandria via LeMat-Bulk: a relaxed Np4Te8Pd3 crystal (PBE).

Computed properties:
M_tot = 0.04 μB/f.u.
ρ = 10.00 Mg/m³
formation energy from raw total energies = -560 meV/atom

Unit cell a=4.4838 b=4.4838 c=18.8968 alpha=90.00 beta=90.00 gamma=90.00
With the nearest neighbours (Å) after each atom.
Positions (direct):
Np1 0.0000 0.5000 0.1211  2 Pd 3.20, 8 Te 3.26-3.27
Np2 0.0000 0.5000 0.6291  8 Te 3.25-3.26, 4 Pd 3.31
Np3 0.5000 0.0000 0.3709  8 Te 3.25-3.26, 4 Pd 3.31
Np4 0.5000 0.0000 0.8789  2 Pd 3.20, 8 Te 3.26-3.27
Te1 0.0000 0.0000 0.2461  4 Te 3.17, 4 Np 3.25-3.26
Te2 0.0000 0.0000 0.7539  4 Te 3.17, 4 Np 3.25-3.26
Te3 0.0000 0.5000 0.4114  4 Pd 2.80
Te4 0.0000 0.5000 0.9203  2 Pd 2.70
Te5 0.5000 0.0000 0.0797  2 Pd 2.70
Te6 0.5000 0.0000 0.5886  4 Pd 2.80
Te7 0.5000 0.5000 0.2466  4 Te 3.17, 4 Np 3.25-3.26
Te8 0.5000 0.5000 0.7534  4 Te 3.17, 4 Np 3.25-3.26
Pd1 0.0000 0.0000 0.0000  4 Te 2.70
Pd2 0.0000 0.0000 0.5000  4 Te 2.80
Pd3 0.5000 0.5000 0.5000  4 Te 2.80


8.
Entry from Alexandria via LeMat-Bulk: a relaxed MgCuRuC crystal (PBE).

Computed properties:
M_tot = 0.00 μB/f.u.
ΔE_f = 105 kJ/mol of formula units
distance to the lowest polymorph of the same formula = 49 meV per atom
ρ = 6.57 Mg/m³

Unit cell a=2.9395 b=2.9395 c=6.7824 alpha=90.00 beta=90.00 gamma=120.00
With the nearest neighbours (Å) after each atom.
Positions (direct):
Mg1 0.0000 0.0000 0.0000  3 C 2.21
Cu1 0.3333 0.6667 0.6840  3 Ru 2.70, 3 Mg 2.73, 6 Cu 2.94
Ru1 0.6667 0.3333 0.3735  3 C 2.03
C1 0.3333 0.6667 0.2095  3 Ru 2.03, 3 Mg 2.21


9.
Entry from Alexandria via LeMat-Bulk: a relaxed ZnIn3 crystal (PBE).

Computed properties:
M_tot = 0.00 μB/f.u.
ΔE_f = 36 kJ/mol of formula units
ρ = 6.98 Mg/m³

Unit cell a=4.4608 b=4.4608 c=19.6054 alpha=90.00 beta=90.00 gamma=90.00
With the nearest neighbours (Å) after each atom.
Positions (direct):
Zn1 0.0000 0.0000 0.1249  12 In 3.15-3.31
Zn2 0.0000 0.0000 0.8751  12 In 3.15-3.31
Zn3 0.5000 0.5000 0.3751  12 In 3.15-3.31
Zn4 0.5000 0.5000 0.6249  12 In 3.15-3.31
In1 0.0000 0.0000 0.3749  4 Zn 3.15, 8 In 3.31-3.32
In2 0.0000 0.0000 0.6251  4 Zn 3.15, 8 In 3.31-3.32
In3 0.0000 0.5000 0.0000  8 In 3.15-3.32, 4 Zn 3.31
In4 0.0000 0.5000 0.2500  8 In 3.15-3.31, 4 Zn 3.31
In5 0.0000 0.5000 0.5000  8 In 3.15-3.32, 4 Zn 3.31
In6 0.0000 0.5000 0.7500  8 In 3.15-3.31, 4 Zn 3.31
In7 0.5000 0.0000 0.0000  8 In 3.15-3.32, 4 Zn 3.31
In8 0.5000 0.0000 0.2500  8 In 3.15-3.31, 4 Zn 3.31
In9 0.5000 0.0000 0.5000  8 In 3.15-3.32, 4 Zn 3.31
In10 0.5000 0.0000 0.7500  8 In 3.15-3.31, 4 Zn 3.31
In11 0.5000 0.5000 0.1251  4 Zn 3.15, 8 In 3.31-3.32
In12 0.5000 0.5000 0.8749  4 Zn 3.15, 8 In 3.31-3.32


10.
Entry from Alexandria via LeMat-Bulk: a relaxed Ac8Pt3Br3N crystal (PBE).

Computed properties:
M_tot = 0.01 μB/f.u.
ρ = 8.28 Mg/m³
formation energy from raw total energies = -1104 meV/atom

Unit cell a=8.6870 b=8.6870 c=9.3814 alpha=116.28 beta=116.28 gamma=61.37
With the nearest neighbours (Å) after each atom.
Positions (direct):
Ac1 0.1983 0.1983 0.6781  1 N 2.54
Ac2 0.2317 0.7341 0.7042  2 Pt 2.99-3.03, 1 N 3.02
Ac3 0.2659 0.7683 0.2958  2 Pt 2.99-3.03, 1 N 3.02
Ac4 0.2680 0.2680 0.3016  3 Pt 2.97-2.99
Ac5 0.7320 0.7320 0.6984  3 Pt 2.97-2.99
Ac6 0.7341 0.2317 0.7042  2 Pt 2.99-3.03, 1 N 3.02
Ac7 0.7683 0.2659 0.2958  2 Pt 2.99-3.03, 1 N 3.02
Ac8 0.8017 0.8017 0.3219  1 N 2.54
Pt1 0.0000 0.5000 0.5000  6 Ac 2.99-3.10
Pt2 0.5000 0.0000 0.5000  6 Ac 2.99-3.10
Pt3 0.5000 0.5000 0.5000  6 Ac 2.97-3.03
Br1 0.0000 0.0000 0.0000  6 Ac 3.45-3.52
Br2 0.0000 0.5000 0.0000  6 Ac 3.49-3.50
Br3 0.5000 0.0000 0.0000  6 Ac 3.49-3.50
N1 0.0000 0.0000 0.5000  2 Ac 2.54


11.
Entry from Alexandria via LeMat-Bulk: a relaxed Zr2TaW crystal (PBE).

Computed properties:
M_tot = 0.00 μB/f.u.
ΔE_f = 111 kJ/mol of formula units
distance to the lowest polymorph of the same formula = 227 meV per atom
ρ = 11.51 Mg/m³

Unit cell a=5.6532 b=9.7302 c=2.8708 alpha=90.00 beta=90.00 gamma=90.00
With the nearest neighbours (Å) after each atom.
Positions (direct):
Zr1 0.2500 0.2500 0.0000  4 Zr 2.83-2.87, 4 Ta 3.16, 4 W 3.16
Zr2 0.2500 0.7500 0.0000  4 Zr 2.83-2.87, 4 W 3.16, 4 Ta 3.16
Zr3 0.7500 0.2500 0.0000  4 Zr 2.83-2.87, 4 Ta 3.16, 4 W 3.16
Zr4 0.7500 0.7500 0.0000  4 Zr 2.83-2.87, 4 Ta 3.16, 4 W 3.16
Ta1 0.0000 0.0000 0.5000  2 W 2.83, 2 Ta 2.87, 8 Zr 3.16
Ta2 0.5000 0.5000 0.5000  2 W 2.83, 2 Ta 2.87, 8 Zr 3.16
W1 0.0000 0.5000 0.5000  2 Ta 2.83, 2 W 2.87, 8 Zr 3.16
W2 0.5000 0.0000 0.5000  2 Ta 2.83, 2 W 2.87, 8 Zr 3.16


12.
Entry from Alexandria via LeMat-Bulk: a relaxed HfTa2Ge4 crystal (PBE).

Computed properties:
M_tot = 0.00 μB/f.u.
ΔE_f = 396 kJ/mol of formula units
ρ = 8.51 Mg/m³

Unit cell a=4.9600 b=4.9600 c=13.1749 alpha=90.00 beta=90.00 gamma=90.00
With the nearest neighbours (Å) after each atom.
Positions (direct):
Hf1 0.0000 0.0000 0.0000  6 Ge 2.48-2.67
Hf2 0.5000 0.5000 0.5000  6 Ge 2.48-2.67
Ta1 0.0000 0.0000 0.4024  1 Ta 2.57, 5 Ge 2.63-2.79
Ta2 0.0000 0.0000 0.5976  1 Ta 2.57, 5 Ge 2.63-2.79
Ta3 0.5000 0.5000 0.0976  1 Ta 2.57, 5 Ge 2.63-2.79
Ta4 0.5000 0.5000 0.9024  1 Ta 2.57, 5 Ge 2.63-2.79
Ge1 0.0000 0.0000 0.2030  1 Ta 2.63, 1 Hf 2.67
Ge2 0.0000 0.0000 0.7970  1 Ta 2.63, 1 Hf 2.67
Ge3 0.0000 0.5000 0.0000  2 Hf 2.48
Ge4 0.0000 0.5000 0.5000  2 Hf 2.48
Ge5 0.5000 0.0000 0.0000  2 Hf 2.48
Ge6 0.5000 0.0000 0.5000  2 Hf 2.48
Ge7 0.5000 0.5000 0.2970  1 Ta 2.63, 1 Hf 2.67
Ge8 0.5000 0.5000 0.7030  1 Ta 2.63, 1 Hf 2.67